1.
Material: BiBRh3
Method: DFT, PBE
State: relaxed

Total DFT energy (no corrections) (eV per atom): -6.624
Formation energy (eV per formula unit): -0.505
Space-group type: No. 221
Size of the total moment (μB per formula unit): 0.0

Unit cell a=4.237 b=4.237 c=4.237 alpha=90.00 beta=90.00 gamma=90.00
Sites, in units of the cell vectors:
B 0.000 0.000 0.000
Rh 0.000 0.500 0.000
Rh 0.000 0.000 0.500
Rh 0.500 0.000 0.000
Bi 0.500 0.500 0.500

2.
Material: BiB2Rh
Method: DFT, PBE
State: relaxed

Total DFT energy (no corrections) (eV per atom): -4.871
Formation energy (eV per formula unit): 5.103
Space-group type: No. 225
Size of the total moment (μB per formula unit): 0.0

Unit cell a=4.287 b=4.287 c=4.287 alpha=60.00 beta=60.00 gamma=60.00
Sites, in units of the cell vectors:
B 0.250 0.250 0.250
B 0.750 0.750 0.750
Rh 0.000 0.000 0.000
Bi 0.500 0.500 0.500

3.
Material: BiBRh2
Method: DFT, PBE
State: relaxed

Total DFT energy (no corrections) (eV per atom): -5.659
Formation energy (eV per formula unit): 2.626
Space-group type: No. 225
Size of the total moment (μB per formula unit): 0.0

Unit cell a=4.425 b=4.425 c=4.425 alpha=60.00 beta=60.00 gamma=60.00
Sites, in units of the cell vectors:
B 0.000 0.000 0.000
Rh 0.250 0.250 0.250
Rh 0.750 0.750 0.750
Bi 0.500 0.500 0.500

4.
Material: BiBRh2
Method: DFT, PBE
State: relaxed

Total DFT energy (no corrections) (eV per atom): -6.499
Formation energy (eV per formula unit): -0.736
Space-group type: No. 166
Size of the total moment (μB per formula unit): 0.0

Unit cell a=3.348 b=3.348 c=6.773 alpha=75.69 beta=75.69 gamma=60.00
Sites, in units of the cell vectors:
B 0.000 0.000 0.000
Rh 0.282 0.282 0.154
Rh 0.718 0.718 0.846
Bi 0.500 0.500 0.500

5.
Material: BiB2Rh
Method: DFT, PBE
State: relaxed

Total DFT energy (no corrections) (eV per atom): -5.575
Formation energy (eV per formula unit): 2.289
Space-group type: No. 122
Size of the total moment (μB per formula unit): 0.0

Unit cell a=5.104 b=5.104 c=6.358 alpha=66.34 beta=66.34 gamma=90.00
Sites, in units of the cell vectors:
B 0.548 0.125 0.250
B 0.202 0.625 0.250
B 0.375 0.452 0.750
B 0.875 0.798 0.750
Rh 0.500 0.500 0.000
Rh 0.250 0.750 0.500
Bi 0.000 0.000 0.000
Bi 0.750 0.250 0.500

6.
Material: BiBRu2Rh
Method: DFT, PBE
State: relaxed

Total DFT energy (no corrections) (eV per atom): -6.718
Formation energy (eV per formula unit): 2.873
Space-group type: No. 123
Size of the total moment (μB per formula unit): 0.0

Unit cell a=4.071 b=4.801 c=4.071 alpha=90.00 beta=90.00 gamma=90.00
Sites, in units of the cell vectors:
Ru 0.000 0.000 0.500
Ru 0.500 0.000 0.000
B 0.000 0.000 0.000
Rh 0.500 0.500 0.500
Bi 0.000 0.500 0.000

7.
Material: SrBiB2Rh
Method: DFT, PBE
State: relaxed

Total DFT energy (no corrections) (eV per atom): -3.320
Formation energy (eV per formula unit): 9.668
Space-group type: No. 123
Size of the total moment (μB per formula unit): 0.4

Unit cell a=4.661 b=6.464 c=4.661 alpha=90.00 beta=90.00 gamma=90.00
Each line ends with the local moment (μB).
Sites, in units of the cell vectors:
Sr 0.000 0.500 0.000  -0.01
B 0.000 0.000 0.500  -0.02
B 0.500 0.000 0.000  -0.03
Rh 0.500 0.500 0.500  0.51
Bi 0.000 0.000 0.000  0.02

8.
Material: Ta2BiBRh
Method: DFT, PBE
State: relaxed

Total DFT energy (no corrections) (eV per atom): -6.376
Formation energy (eV per formula unit): 9.735
Space-group type: No. 123
Size of the total moment (μB per formula unit): 0.9

Unit cell a=4.837 b=5.130 c=4.837 alpha=90.00 beta=90.00 gamma=90.00
Each line ends with the local moment (μB).
Sites, in units of the cell vectors:
B 0.500 0.500 0.500  -0.01
Rh 0.000 0.000 0.000  0.00
Bi 0.000 0.500 0.000  -0.03
Ta 0.000 0.000 0.500  0.22
Ta 0.500 0.000 0.000  0.42

9.
Material: Th2BiBRh6
Method: DFT, PBE
State: relaxed

Total DFT energy (no corrections) (eV per atom): -7.061
Formation energy (eV per formula unit): -1.104
Space-group type: No. 123
Size of the total moment (μB per formula unit): 0.0

Unit cell a=4.728 b=4.728 c=8.924 alpha=90.00 beta=90.00 gamma=90.00
Sites, in units of the cell vectors:
Th 0.000 0.000 0.736
Th 0.000 0.000 0.264
Bi 0.500 0.500 0.000
B 0.500 0.500 0.500
Rh 0.500 0.000 0.000
Rh 0.500 0.000 0.500
Rh 0.000 0.500 0.000
Rh 0.000 0.500 0.500
Rh 0.500 0.500 0.712
Rh 0.500 0.500 0.288

10.
Material: Th3BiB2Rh9
Method: DFT, PBE
State: relaxed

Total DFT energy (no corrections) (eV per atom): -7.751
Formation energy (eV per formula unit): -10.613
Space-group type: No. 164
Size of the total moment (μB per formula unit): 0.0

Unit cell a=5.904 b=5.904 c=9.185 alpha=90.00 beta=90.00 gamma=120.00
Sites, in units of the cell vectors:
Th 0.333 0.667 0.711
Th 0.000 0.000 0.000
Th 0.667 0.333 0.289
Bi 0.000 0.000 0.500
B 0.333 0.667 0.142
B 0.667 0.333 0.858
Rh 0.836 0.164 0.735
Rh 0.836 0.671 0.735
Rh 0.329 0.164 0.735
Rh 0.671 0.836 0.265
Rh 0.164 0.329 0.265
Rh 0.164 0.836 0.265
Rh 0.500 0.000 0.000
Rh 0.000 0.500 0.000
Rh 0.500 0.500 0.000

11.
Material: Th4BiB3Rh12
Method: DFT, PBE
State: relaxed

Total DFT energy (no corrections) (eV per atom): -7.691
Formation energy (eV per formula unit): -12.015
Space-group type: No. 229
Size of the total moment (μB per formula unit): 0.0

Unit cell a=7.690 b=7.690 c=7.690 alpha=109.47 beta=109.47 gamma=109.47
Sites, in units of the cell vectors:
Th 0.500 0.500 0.500
Th 0.000 0.000 0.500
Th 0.500 0.000 0.000
Th 0.000 0.500 0.000
Bi 0.000 0.000 0.000
B 0.500 0.000 0.500
B 0.500 0.500 0.000
B 0.000 0.500 0.500
Rh 0.250 0.500 0.750
Rh 0.716 0.000 0.716
Rh 0.284 0.000 0.284
Rh 0.750 0.500 0.250
Rh 0.716 0.716 0.000
Rh 0.284 0.284 0.000
Rh 0.750 0.250 0.500
Rh 0.250 0.750 0.500
Rh 0.500 0.250 0.750
Rh 0.000 0.716 0.716
Rh 0.500 0.750 0.250
Rh 0.000 0.284 0.284

12.
Material: Tm4BiB3Rh12
Method: DFT, PBE
State: relaxed

Total DFT energy (no corrections) (eV per atom): -7.005
Formation energy (eV per formula unit): -10.088
Space-group type: No. 229
Size of the total moment (μB per formula unit): 0.0

Unit cell a=7.563 b=7.563 c=7.563 alpha=109.47 beta=109.47 gamma=109.47
Sites, in units of the cell vectors:
Tm 0.500 0.500 0.500
Tm 0.000 0.000 0.500
Tm 0.500 0.000 0.000
Tm 0.000 0.500 0.000
Bi 0.000 0.000 0.000
B 0.500 0.000 0.500
B 0.500 0.500 0.000
B 0.000 0.500 0.500
Rh 0.250 0.500 0.750
Rh 0.719 0.000 0.719
Rh 0.281 0.000 0.281
Rh 0.750 0.500 0.250
Rh 0.719 0.719 0.000
Rh 0.281 0.281 0.000
Rh 0.750 0.250 0.500
Rh 0.250 0.750 0.500
Rh 0.500 0.250 0.750
Rh 0.000 0.719 0.719
Rh 0.500 0.750 0.250
Rh 0.000 0.281 0.281

13.
Material: BiBRh2W
Method: DFT, PBE
State: relaxed

Total DFT energy (no corrections) (eV per atom): -6.889
Formation energy (eV per formula unit): 3.768
Space-group type: No. 123
Size of the total moment (μB per formula unit): 1.3

Unit cell a=4.067 b=4.981 c=4.067 alpha=90.00 beta=90.00 gamma=90.00
Each line ends with the local moment (μB).
Sites, in units of the cell vectors:
B 0.000 0.000 0.000  0.00
Rh 0.000 0.000 0.500  -0.01
Rh 0.500 0.000 0.000  -0.01
Bi 0.000 0.500 0.000  -0.02
W 0.500 0.500 0.500  1.09